First-principles (PBE+U) data for an optimized crystal structure of CrGe2O6, as listed in Alexandria.

a = 6.548 Å, b = 6.811 Å, c = 5.572 Å
α = 74.51°, β = 75.13°, γ = 82.79°
Fractional coordinates of all 18 atoms:
O  0.660  0.610  0.548
O  0.936  0.367  0.255
O  0.176  0.031  0.371
O  0.037  0.177  0.884
O  0.824  0.969  0.629
O  0.064  0.633  0.745
O  0.963  0.823  0.116
O  0.603  0.658  0.055
O  0.397  0.342  0.945
O  0.369  0.917  0.749
O  0.340  0.390  0.452
O  0.631  0.083  0.251
Cr  0.909  0.095  0.240
Cr  0.091  0.905  0.760
Ge  0.624  0.786  0.734
Ge  0.202  0.396  0.766
Ge  0.798  0.604  0.234
Ge  0.376  0.214  0.266

Values from the calculation:
- final energy (eV per atom) = -6.691